Entry 1:
Here is crystalline YTa2BiAu at its relaxed geometry from the Alexandria database. Energies are from GGA-PBE.

abc: 5.0014 5.0014 5.6151
angles: 90.00 90.00 90.00
Sites, in units of the cell vectors:
1 Y 0.0000 0.0000 0.0000
2 Au 0.5000 0.5000 0.5000
3 Bi 0.0000 0.0000 0.5000
4 Ta 0.0000 0.5000 0.0000
5 Ta 0.5000 0.0000 0.0000

Calculated values
- Electronic total energy: -5.44 eV per atom

***

Entry 2:
Here is crystalline Tb3BiAu at its relaxed geometry from the Alexandria database. Energies are from GGA-PBE.

abc: 5.5013 6.4266 8.5757
angles: 90.00 90.00 90.00
Sites, in units of the cell vectors:
1 Tb 0.5000 0.0000 0.0000
2 Tb 0.5000 0.5000 0.0000
3 Tb 0.0000 0.7500 0.2525
4 Tb 0.0000 0.2500 0.7475
5 Tb 0.5000 0.2500 0.3654
6 Tb 0.5000 0.7500 0.6346
7 Bi 0.0000 0.2500 0.1483
8 Bi 0.0000 0.7500 0.8517
9 Au 0.5000 0.7500 0.3028
10 Au 0.5000 0.2500 0.6972

Calculated values
- Electronic total energy: -4.80 eV per atom